Material: GaPt3Au
Method: DFT, PBE
State: relaxed

Unit cell a=4.6195 b=4.6195 c=4.6195 alpha=90.00 beta=90.00 gamma=90.00
Closest atoms and distances in Å follow each position.
Space group Pm-3m (No. 221)
Inequivalent atoms, fractional coordinates:
Ga (0.0000, 0.0000, 0.0000) [1 per cell]  6 Pt 2.31
Pt (0.0000, 0.0000, 0.5000) [3 per cell]  2 Ga 2.31
Au (0.5000, 0.5000, 0.5000) [1 per cell]  12 Pt 3.27

Calculated values
Total moment, μB/f.u.: 0.00
Relative energy among the computed polymorphs, meV per atom: 0
Formation energy, eV/atom: 0.573
ρ, g/cm3: 14.4
V, A^3/atom: 19.7


Material: GaPt2Au
Method: DFT, PBE
State: relaxed

Unit cell a=2.9355 b=2.9355 c=7.3913 alpha=90.00 beta=90.00 gamma=90.00
Closest atoms and distances in Å follow each position.
Space group P4/mmm (No. 123)
Inequivalent atoms, fractional coordinates:
Ga (0.0000, 0.0000, 0.0000) [1 per cell]  8 Pt 2.63, 4 Ga 2.94
Pt (0.5000, 0.5000, 0.2191) [2 per cell]  4 Ga 2.63, 4 Pt 2.94, 4 Au 2.94
Au (0.0000, 0.0000, 0.5000) [1 per cell]  4 Au 2.94, 8 Pt 2.94

Calculated values
Total moment, μB/f.u.: 0.00
Formation energy, eV/atom: -0.367
ρ, g/cm3: 17.1
V, A^3/atom: 15.9


Material: GaPtAu
Method: DFT, PBE
State: relaxed

Unit cell a=4.0029 b=12.7553 c=6.2734 alpha=90.00 beta=90.00 gamma=90.00
Closest atoms and distances in Å follow each position.
Space group Imm2 (No. 44)
Inequivalent atoms, fractional coordinates:
Ga (0.0000, 0.0000, 0.0000) [2 per cell]  4 Pt 2.54-2.61, 5 Au 2.57-2.73
Ga (0.0000, 0.3119, 0.0391) [4 per cell]  4 Pt 2.50-2.69, 1 Au 2.66
Pt (0.0000, 0.1646, 0.7732) [4 per cell]  4 Ga 2.50-2.54, 1 Au 2.76
Pt (0.0000, 0.5000, 0.2335) [2 per cell]  4 Ga 2.61-2.69, 2 Au 2.85, 4 Pt 2.91
Au (0.0000, 0.0000, 0.4098) [2 per cell]  1 Ga 2.57, 2 Pt 2.85
Au (0.0000, 0.3696, 0.6311) [4 per cell]  3 Ga 2.66-2.73, 1 Pt 2.76

Calculated values
Total moment, μB/f.u.: 0.00
Relative energy among the computed polymorphs, meV per atom: 0
Formation energy, eV/atom: -0.348
ρ, g/cm3: 14.4
V, A^3/atom: 17.8


Material: Ga2PtAu4
Method: DFT, PBE
State: relaxed

Unit cell a=5.1418 b=5.1418 c=12.6725 alpha=90.00 beta=90.00 gamma=90.00
Closest atoms and distances in Å follow each position.
Space group I4/mmm (No. 139)
Inequivalent atoms, fractional coordinates:
Ga (0.0000, 0.0000, 0.1016) [4 per cell]  1 Au 2.40, 1 Ga 2.57
Pt (0.0000, 0.0000, 0.5000) [2 per cell]  6 Au 2.57-2.65
Au (0.0000, 0.0000, 0.2907) [4 per cell]  1 Ga 2.40, 1 Pt 2.65
Au (0.0000, 0.5000, 0.0000) [4 per cell]  2 Pt 2.57, 4 Ga 2.88

Calculated values
Total moment, μB/f.u.: 0.00
Formation energy, eV/atom: 0.263
ρ, g/cm3: 11.1
V, A^3/atom: 23.9


Material: Ga2PtAu
Method: DFT, PBE
State: relaxed

Unit cell a=4.4581 b=4.4581 c=3.2901 alpha=90.00 beta=90.00 gamma=90.00
Closest atoms and distances in Å follow each position.
Space group P4/mmm (No. 123)
Inequivalent atoms, fractional coordinates:
Ga (0.0000, 0.5000, 0.0000) [2 per cell]  4 Au 2.77, 4 Pt 2.77
Pt (0.0000, 0.0000, 0.5000) [1 per cell]  8 Ga 2.77
Au (0.5000, 0.5000, 0.5000) [1 per cell]  8 Ga 2.77

Calculated values
Total moment, μB/f.u.: 0.00
Relative energy among the computed polymorphs, meV per atom: 182
Formation energy, eV/atom: -0.254
ρ, g/cm3: 13.5
V, A^3/atom: 16.3


Material: Ga2Pt2Au
Method: DFT, PBE
State: relaxed

Unit cell a=7.5180 b=7.5180 c=2.8624 alpha=90.00 beta=90.00 gamma=90.00
Closest atoms and distances in Å follow each position.
Space group P4/mbm (No. 127)
Inequivalent atoms, fractional coordinates:
Ga (0.1565, 0.3435, 0.0000) [4 per cell]  6 Pt 2.57-2.67, 2 Ga 2.86
Pt (0.1422, 0.6422, 0.5000) [4 per cell]  6 Ga 2.57-2.67, 2 Pt 2.86
Au (0.0000, 0.0000, 0.5000) [2 per cell]  2 Au 2.86, 4 Pt 2.89, 8 Ga 3.18

Calculated values
Total moment, μB/f.u.: 0.00
Relative energy among the computed polymorphs, meV per atom: 0
Formation energy, eV/atom: -0.477
ρ, g/cm3: 14.9
V, A^3/atom: 16.2


Material: Ga3PtAu
Method: DFT, PBE
State: relaxed

Unit cell a=8.8174 b=4.9154 c=9.9037 alpha=90.00 beta=124.12 gamma=90.00
Closest atoms and distances in Å follow each position.
Space group P2_1/c (No. 14)
Inequivalent atoms, fractional coordinates:
Ga (0.0001, 0.0001, 0.1469) [4 per cell]  2 Pt 2.55, 2 Au 2.71-2.72
Ga (0.3685, 0.2494, 0.9339) [4 per cell]  3 Pt 2.55-2.62
Ga (0.3825, 0.6563, 0.6915) [4 per cell]  2 Pt 2.64, 2 Au 2.71-2.95
Pt (0.2727, 0.7495, 0.8866) [4 per cell]  7 Ga 2.55-2.64
Au (0.1898, 0.1284, 0.5946) [4 per cell]  6 Ga 2.71-2.95

Calculated values
Total moment, μB/f.u.: 0.00
Relative energy among the computed polymorphs, meV per atom: 0
Formation energy, eV/atom: -0.350
ρ, g/cm3: 11.2
V, A^3/atom: 17.8


Material: Ga2PtAu
Method: DFT, PBE
State: relaxed

Unit cell a=6.3901 b=6.3901 c=6.3901 alpha=90.00 beta=90.00 gamma=90.00
Closest atoms and distances in Å follow each position.
Space group Fm-3m (No. 225)
Inequivalent atoms, fractional coordinates:
Ga (0.2500, 0.2500, 0.2500) [8 per cell]  4 Pt 2.77, 4 Au 2.77
Pt (0.0000, 0.0000, 0.0000) [4 per cell]  8 Ga 2.77
Au (0.0000, 0.0000, 0.5000) [4 per cell]  8 Ga 2.77

Calculated values
Total moment, μB/f.u.: 0.00
Relative energy among the computed polymorphs, meV per atom: 178
Formation energy, eV/atom: -0.258
ρ, g/cm3: 13.5
V, A^3/atom: 16.3